[1]
This record from the Open Quantum Materials Database describes a relaxed structure of CdAsOs. The functional is PBE.

Unit cell a=6.0828 b=6.0828 c=6.0828 alpha=90.00 beta=90.00 gamma=90.00
With the nearest neighbours (Å) after each atom.
Space group F-43m (No. 216)
Unique sites:
Cd 0.0000 0.0000 0.0000 [4 per cell]  4 As 2.63
As 0.2500 0.2500 0.2500 [4 per cell]  4 Cd 2.63, 4 Os 2.63
Os 0.0000 0.0000 0.5000 [4 per cell]  4 As 2.63

The calculation puts the volume at 18.76 Å³ per atom. The value obtained for the electronic total energy is -4.8322 eV/atom. As for the magnetization: 0.00 μB per formula unit.

[2]
This record from the Open Quantum Materials Database describes a relaxed structure of Er3MgTlCd2Ga2. The functional is PBE.

Unit cell a=4.5129 b=12.6091 c=7.2644 alpha=90.00 beta=90.00 gamma=90.00
With the nearest neighbours (Å) after each atom.
Space group Amm2 (No. 38)
Unique sites:
Er 0.0000 0.0000 0.0000 [2 per cell]  4 Ga 3.09, 1 Tl 3.21, 2 Mg 3.23
Er 0.0000 0.2193 0.6525 [4 per cell]  4 Ga 3.11-3.14, 2 Cd 3.15, 1 Tl 3.16
Mg 0.5000 0.0000 0.6816 [2 per cell]  2 Ga 2.74, 2 Tl 2.85
Tl 0.0000 0.0000 0.4419 [2 per cell]  2 Mg 2.85, 4 Cd 2.96, 2 Er 3.16
Cd 0.5000 0.1301 0.3055 [4 per cell]  2 Ga 2.75-2.76, 2 Tl 2.96
Ga 0.5000 0.1631 0.9312 [4 per cell]  1 Mg 2.74, 2 Cd 2.75-2.76

The calculation puts the volume at 22.97 Å³ per atom. The value obtained for the electronic total energy is -3.2617 eV/atom. As for the magnetization: 0.00 μB per formula unit.

[3]
This record from the Open Quantum Materials Database describes a relaxed structure of UGaTe. The functional is PBE.

Unit cell a=6.8576 b=6.8576 c=6.8576 alpha=90.00 beta=90.00 gamma=90.00
With the nearest neighbours (Å) after each atom.
Space group F-43m (No. 216)
Unique sites:
U 0.0000 0.0000 0.0000 [4 per cell]  4 Ga 2.97
Ga 0.2500 0.2500 0.7500 [4 per cell]  4 U 2.97, 4 Te 2.97
Te 0.0000 0.0000 0.5000 [4 per cell]  4 Ga 2.97

The calculation puts the volume at 26.87 Å³ per atom. The value obtained for the electronic total energy is -5.5485 eV/atom. As for the magnetization: 3.30 μB per formula unit.